Entry 1:
# GGA-PBE Dy2ErSc2, optimized geometry
# DOS(E_F) in states/eV/f.u.: 7.945
# Energy of formation in eV per formula unit: 0.24
# Total energy in Ry per atom: -0.3850
data_Dy2ErSc2
_chemical_formula_sum 'Dy4 Er2 Sc4'
_cell_length_a 3.452
_cell_length_b 4.769
_cell_length_c 17.199
_cell_angle_alpha 90.00
_cell_angle_beta 90.00
_cell_angle_gamma 90.00
_symmetry_space_group_name_H-M 'I m m m'
_symmetry_Int_Tables_number 71
_symmetry_space_group_name_Hall '-I 2 2'
loop_
_atom_site_label
_atom_site_fract_x
_atom_site_fract_y
_atom_site_fract_z
Dy1 0.000 0.000 0.197
Er1 0.000 0.000 0.000
Sc1 0.000 0.000 0.402

Entry 2:
# GGA-PBE PrLuMg, optimized geometry
# DOS(E_F) in states/eV/f.u.: 4.621
# Energy of formation in eV per formula unit: -0.10
# Total energy in Ry per atom: -0.2693
data_PrLuMg
_chemical_formula_sum 'Pr2 Lu2 Mg2'
_cell_length_a 3.651
_cell_length_b 3.651
_cell_length_c 13.415
_cell_angle_alpha 90.00
_cell_angle_beta 90.00
_cell_angle_gamma 90.00
_symmetry_space_group_name_H-M 'I 4 m m'
_symmetry_Int_Tables_number 107
_symmetry_space_group_name_Hall 'I 4 -2'
loop_
_atom_site_label
_atom_site_fract_x
_atom_site_fract_y
_atom_site_fract_z
Pr1 0.000 0.000 0.000
Lu1 0.000 0.000 0.321
Mg1 0.000 0.000 0.670